1.
This record from the Alexandria database describes a relaxed structure of Ba2SrSb. The functional is PBE-GGA.

POSCAR file:
```
Ba2SrSb
1.0
-1.4384 -5.0405 9.3065
10.1266 2.0754 2.6892
3.2806 1.6920 7.5528
Sb Ba Sr
2 4 2
Cartesian
0.0000 0.0000 0.0000
3.0931 -2.4155 11.4286
1.0794 -2.8449 8.7371
7.0770 1.4671 4.0361
4.9610 0.0018 9.9619
10.8201 -1.1702 16.3620
4.3441 -1.4825 5.9979
8.8756 1.1424 8.1199
```

* total energy: -2.804 eV/atom
* crystal system: tetragonal
* space group: I-42d, No. 122
* uncorrected formation energy: -0.3918 eV per atom

2.
This record from the Alexandria database describes a relaxed structure of KZrIn. The functional is PBE-GGA.

POSCAR file:
```
KZrIn
1.0
6.8579 0.0215 -0.0010
0.7537 3.1561 -0.0012
3.0753 -0.6598 8.7790
K Zr In
2 2 2
Cartesian
5.6479 2.5087 6.5319
2.1230 1.7392 4.4848
5.4238 0.8535 2.5813
3.8952 2.8908 1.1424
0.9604 1.9229 0.9530
8.4066 0.2219 7.9597
```

* total energy: -3.940 eV/atom
* crystal system: triclinic
* space group: P1, No. 1
* E_form: 0.188 eV/atom

3.
This record from the Alexandria database describes a relaxed structure of DyMgZn5Au2. The functional is PBE-GGA.

POSCAR file:
```
DyMgZn5Au2
1.0
-2.6284 3.9121 -0.5725
-3.1783 -2.4995 -2.4883
-3.9301 -1.6616 6.6890
Dy Mg Zn Au
1 1 5 2
Cartesian
-1.9650 -0.8308 3.3445
0.0000 0.0000 0.0000
-2.6724 -1.7077 0.5996
-2.3974 1.4981 1.5575
-4.4360 -2.4533 3.6011
-4.1610 0.7524 4.5590
-4.8684 -0.1245 1.8141
-3.5556 0.4306 -0.4203
-6.1812 -0.6795 4.0485
```

* total energy: -2.210 eV/atom
* crystal system: tetragonal
* space group: P4/mmm, No. 123
* E_form: -0.086 eV/atom

4.
This record from the Alexandria database describes a relaxed structure of Li2TePd8. The functional is PBE-GGA.

POSCAR file:
```
Li2TePd8
1.0
-3.1601 2.4004 -1.2898
0.3099 -2.4965 -5.4052
-2.9595 -5.3210 4.0979
Li Te Pd
2 1 8
Cartesian
-4.0008 -1.9675 -0.6093
-1.8090 -3.4496 -1.9878
-1.5800 1.2002 -0.6449
-3.5063 -4.6867 -0.1316
-2.9250 -2.5879 -4.3995
-4.4832 -3.6154 -2.4941
-5.6412 -3.2195 1.0798
-1.3266 -1.8017 -0.1030
-2.8847 -2.8292 1.8024
-2.3034 -0.7304 -2.4655
-0.1686 -2.1977 -3.6769
```

* total energy: -4.672 eV/atom
* crystal system: monoclinic
* space group: C2/m, No. 12
* uncorrected formation energy: -0.2619 eV per atom